*w*
The following is a PBE calculation of a geometry-optimized YTlHgSe3 structure, from OQMD.

```
YTlHgSe3
1.0
8.261 0.000 0.000
0.000 4.218 0.000
-3.117 0.000 10.040
Y Tl Hg Se
2 2 2 6
direct
0.188 0.250 0.136
0.812 0.750 0.864
0.237 0.750 0.719
0.763 0.250 0.281
0.419 0.750 0.383
0.581 0.250 0.617
0.047 0.250 0.857
0.242 0.250 0.438
0.431 0.750 0.135
0.569 0.250 0.865
0.758 0.750 0.562
0.953 0.750 0.143
```

## Properties
As for the symmetry: No. 11. As for the size of the total moment: 0.0 μB/cell.

*x*
The following is a PBE calculation of a geometry-optimized YTlHgSe3 structure, from OQMD.

```
YTlHgSe3
1.0
11.026 0.000 0.000
0.000 4.230 0.000
0.000 0.000 14.388
Y Tl Hg Se
4 4 4 12
direct
0.007 0.250 0.249
0.493 0.750 0.749
0.507 0.250 0.251
0.993 0.750 0.751
0.244 0.750 0.499
0.256 0.250 0.999
0.744 0.750 0.001
0.756 0.250 0.501
0.244 0.250 0.704
0.256 0.750 0.204
0.744 0.250 0.796
0.756 0.750 0.296
0.036 0.250 0.616
0.049 0.750 0.114
0.243 0.750 0.826
0.257 0.250 0.326
0.451 0.250 0.614
0.464 0.750 0.116
0.536 0.250 0.884
0.549 0.750 0.386
0.743 0.750 0.674
0.757 0.250 0.174
0.951 0.250 0.886
0.964 0.750 0.384
```

## Properties
As for the symmetry: No. 62. As for the size of the total moment: 0.0 μB/cell.

*y*
The following is a PBE calculation of a geometry-optimized YTlHgSe3 structure, from OQMD.

```
YTlHgSe3
1.0
8.362 0.000 0.000
0.000 4.431 0.000
0.000 0.000 17.215
Y Tl Hg Se
4 4 4 12
direct
0.228 0.250 0.039
0.272 0.750 0.539
0.728 0.250 0.461
0.772 0.750 0.961
0.063 0.250 0.806
0.437 0.750 0.306
0.563 0.250 0.694
0.937 0.750 0.194
0.076 0.250 0.341
0.424 0.750 0.841
0.576 0.250 0.159
0.924 0.750 0.659
0.003 0.250 0.574
0.124 0.750 0.947
0.228 0.250 0.205
0.272 0.750 0.705
0.376 0.250 0.447
0.497 0.750 0.074
0.503 0.250 0.926
0.624 0.750 0.553
0.728 0.250 0.295
0.772 0.750 0.795
0.876 0.250 0.053
0.997 0.750 0.426
```

## Properties
As for the symmetry: No. 62. As for the size of the total moment: 0.0 μB/cell.

*z*
The following is a PBE calculation of a geometry-optimized YTlHgSe3 structure, from OQMD.

```
YTlHgSe3
1.0
12.214 0.000 0.000
0.000 4.298 0.000
0.000 0.000 12.813
Y Tl Hg Se
4 4 4 12
direct
0.032 0.250 0.175
0.468 0.750 0.675
0.532 0.250 0.325
0.968 0.750 0.825
0.162 0.250 0.502
0.338 0.750 0.002
0.662 0.250 0.998
0.838 0.750 0.498
0.249 0.250 0.805
0.251 0.750 0.305
0.749 0.250 0.695
0.751 0.750 0.195
0.032 0.750 0.331
0.082 0.250 0.934
0.236 0.750 0.671
0.264 0.250 0.171
0.418 0.750 0.434
0.468 0.250 0.831
0.532 0.750 0.169
0.582 0.250 0.566
0.736 0.750 0.829
0.764 0.250 0.329
0.918 0.750 0.066
0.968 0.250 0.669
```

## Properties
As for the symmetry: No. 62. As for the size of the total moment: 0.0 μB/cell.

Most stable structure - *x*; separation to the second - 10 meV per atom.

*w*
The following is a PBE calculation of a geometry-optimized SiHg2 structure, from OQMD.

```
SiHg2
1.0
0.000 4.133 4.133
4.133 0.000 4.133
4.133 4.133 0.000
Si Hg
2 4
direct
0.125 0.125 0.125
0.875 0.875 0.875
0.000 0.500 0.500
0.500 0.000 0.500
0.500 0.500 0.000
0.500 0.500 0.500
```

## Properties
As for the symmetry: No. 227.

*x*
The following is a PBE calculation of a geometry-optimized SiHg2 structure, from OQMD.

```
SiHg2
1.0
0.000 5.755 5.755
5.755 0.000 5.755
5.755 5.755 0.000
Si Hg
2 4
direct
0.125 0.125 0.125
0.875 0.875 0.875
0.000 0.000 0.000
0.000 0.000 0.500
0.000 0.500 0.000
0.500 0.000 0.000
```

## Properties
As for the symmetry: No. 227.

Most stable structure - *x*; separation to the second - 504 meV per atom.

*w*
The following is a PBE calculation of a geometry-optimized TaSiHg structure, from OQMD.

```
TaSiHg
1.0
0.000 3.075 3.075
3.075 0.000 3.075
3.075 3.075 0.000
Ta Si Hg
1 1 1
direct
0.000 0.000 0.000
0.750 0.750 0.750
0.500 0.500 0.500
```

## Properties
As for the symmetry: No. 216. As for the size of the total moment: 0.5 μB/cell.

*x*
The following is a PBE calculation of a geometry-optimized TaSiHg structure, from OQMD.

```
TaSiHg
1.0
0.000 3.183 3.183
3.183 0.000 3.183
3.183 3.183 0.000
Ta Si Hg
1 1 1
direct
0.000 0.000 0.000
0.250 0.250 0.250
0.750 0.750 0.750
```

## Properties
As for the symmetry: No. 216. As for the size of the total moment: 0.0 μB/cell.

Most stable structure - *w*; separation to the second - 111 meV per atom.

*w*
The following is a PBE calculation of a geometry-optimized ThSiHg structure, from OQMD.

```
ThSiHg
1.0
0.000 3.396 3.396
3.396 0.000 3.396
3.396 3.396 0.000
Th Si Hg
1 1 1
direct
0.000 0.000 0.000
0.750 0.750 0.750
0.500 0.500 0.500
```

## Properties
As for the symmetry: No. 216. As for the size of the total moment: 0.0 μB/cell.

*x*
The following is a PBE calculation of a geometry-optimized ThSiHg structure, from OQMD.

```
ThSiHg
1.0
0.000 3.540 3.540
3.540 0.000 3.540
3.540 3.540 0.000
Th Si Hg
1 1 1
direct
0.000 0.000 0.000
0.250 0.250 0.250
0.750 0.750 0.750
```

## Properties
As for the symmetry: No. 216. As for the size of the total moment: 0.0 μB/cell.

*y*
The following is a PBE calculation of a geometry-optimized ThSiHg structure, from OQMD.

```
ThSiHg
1.0
0.000 3.435 3.435
3.435 0.000 3.435
3.435 3.435 0.000
Th Si Hg
1 1 1
direct
0.000 0.000 0.000
0.500 0.500 0.500
0.750 0.750 0.750
```

## Properties
As for the symmetry: No. 216. As for the size of the total moment: 0.0 μB/cell.

Most stable structure - *w*; separation to the second - 142 meV per atom.